[1]
# Rb3W

An optimized crystal structure of Rb3W (PBE, Alexandria via LeMat-Bulk).

abc: 9.472 9.472 9.472
angles: 90.00 90.00 90.00
Space group Fm-3m (No. 225)
Asymmetric unit:
Rb: 0.000 0.000 0.000
Rb: 0.250 0.250 0.250
W: 0.000 0.000 0.500

Properties
crystal system: cubic

=====

[2]
# RbW

An optimized crystal structure of RbW (PBE, Alexandria via LeMat-Bulk).

abc: 10.601 10.601 10.601
angles: 90.00 90.00 90.00
Space group I-43m (No. 217)
Asymmetric unit:
Rb: 0.219 0.219 0.219
W: 0.081 0.081 0.919

Properties
crystal system: cubic
excess energy over the best structure of this formula in the dataset: 0.817 eV/atom

=====

[3]
# Rb4W

An optimized crystal structure of Rb4W (PBE, Alexandria via LeMat-Bulk).

abc: 7.294 7.294 7.294
angles: 90.00 90.00 90.00
Space group Pm-3m (No. 221)
Asymmetric unit:
Rb: 0.000 0.000 0.000
Rb: 0.000 0.500 0.500
W: 0.500 0.500 0.500

Properties
crystal system: cubic

=====

[4]
# Rb2YW

An optimized crystal structure of Rb2YW (PBE, Alexandria via LeMat-Bulk).

abc: 12.982 12.982 5.320
angles: 90.00 90.00 90.00
Space group I-42d (No. 122)
Asymmetric unit:
Rb: 0.113 0.250 0.125
Y: 0.000 0.000 0.500
W: 0.000 0.000 0.000

Properties
crystal system: tetragonal
excess energy over the best structure of this formula in the dataset: 0.000 eV/atom

=====

[5]
# RbY2W

An optimized crystal structure of RbY2W (PBE, Alexandria via LeMat-Bulk).

abc: 7.608 7.608 7.608
angles: 90.00 90.00 90.00
Space group Fm-3m (No. 225)
Asymmetric unit:
Rb: 0.000 0.000 0.000
Y: 0.250 0.250 0.250
W: 0.000 0.000 0.500

Properties
crystal system: cubic
excess energy over the best structure of this formula in the dataset: 0.000 eV/atom

=====

[6]
# Rb2YW

An optimized crystal structure of Rb2YW (PBE, Alexandria via LeMat-Bulk).

abc: 8.463 8.463 8.463
angles: 90.00 90.00 90.00
Space group Fm-3m (No. 225)
Asymmetric unit:
Rb: 0.250 0.250 0.250
Y: 0.000 0.000 0.000
W: 0.000 0.000 0.500

Properties
crystal system: cubic
excess energy over the best structure of this formula in the dataset: 0.340 eV/atom

=====

The records above yield theoretical density values of 3.4 3.0 2.2 3.3 6.7 4.9 g/cm3, respectively.
The records above yield magnetic moment values of 5.17 0.53 5.65 2.77 1.07 2.93 μB/f.u., respectively.
The records above yield ΔH_f (0 K) values of 6.13 3.41 6.22 6.57 4.62 7.93 eV per formula unit, respectively.